# Be2ReRu

A relaxed Be2ReRu crystal (PBE, Alexandria via LeMat-Bulk).

a = 5.157 Å, b = 7.436 Å, c = 2.636 Å
α = 90.00°, β = 110.08°, γ = 90.00°
Space group C2/m (No. 12)
One atom of each set of equivalent atoms:
Be  0.250  0.250  0.000
Re  0.000  0.000  0.500
Ru  0.000  0.500  0.500

Results
ΔH_f (0 K) = 0.086 eV per atom
magnetic moment = 0.0 μB per formula unit
energy relative to the lowest polymorph listed for this composition = 261 meV per atom